HfTiCuW PBE optimized geometry; crystal system = cubic
1.0
4.540 0.000 0.000
2.270 3.932 0.000
2.270 1.311 3.707
Hf Cu W Ti
1 1 1 1
Direct
0.750 0.750 0.750
0.500 0.500 0.500
0.000 0.000 0.000
0.250 0.250 0.250



Ac5PtRh2O PBE optimized geometry; crystal system = orthorhombic; raw formation energy = -10.46 eV/f.u.
1.0
-3.625 -2.225 -1.071
6.665 -6.944 0.850
-2.886 -1.255 12.374
Ac Pt Rh O
10 2 4 2
Direct
0.295 0.590 0.063
0.640 0.281 0.909
0.506 0.011 0.672
0.306 0.611 0.749
0.038 0.077 0.420
0.705 0.410 0.563
0.360 0.719 0.409
0.494 0.989 0.172
0.694 0.389 0.249
0.962 0.923 0.920
0.884 0.768 0.587
0.116 0.232 0.087
0.802 0.603 0.907
0.114 0.229 0.647
0.198 0.397 0.407
0.886 0.771 0.147
0.508 0.016 0.869
0.492 0.984 0.369



AcMgAlCu PBE optimized geometry; crystal system = trigonal
1.0
-3.360 -2.810 -0.228
-0.253 -3.349 2.822
-4.318 1.364 4.641
Ac Mg Al Cu
1 1 1 1
Direct
0.817 0.817 0.548
0.013 0.013 0.962
0.607 0.607 0.180
0.289 0.289 0.132



La2TcCl2 PBE optimized geometry; crystal system = tetragonal; raw formation energy = -3.44 eV/f.u.
1.0
-3.352 2.439 0.196
-1.948 -2.459 -2.716
-5.337 -4.161 4.425
Cl Tc La
2 1 2
Direct
0.750 0.250 0.500
0.250 0.750 0.500
0.000 0.000 0.000
0.388 0.388 0.225
0.612 0.612 0.775



HoNbCo2 PBE optimized geometry; crystal system = tetragonal
1.0
3.122 0.000 0.000
0.000 3.122 0.000
0.000 0.000 6.734
Nb Co Ho
1 2 1
Direct
0.500 0.500 0.000
0.000 0.000 0.798
0.000 0.000 0.202
0.500 0.500 0.500



BaInTe2 PBE optimized geometry; crystal system = trigonal; raw formation energy = -2.61 eV/f.u.
1.0
-7.593 2.049 -5.508
-9.485 -0.705 -1.317
-8.427 4.527 -0.829
Te Ba In
2 1 1
Direct
0.896 0.896 0.896
0.104 0.104 0.104
0.500 0.500 0.500
0.000 0.000 0.000



Number 1: E_tot -8.730 eV/atom. Number 2: E_tot -6.300 eV/atom. Number 3: E_tot -3.543 eV/atom. Number 4: E_tot -5.471 eV/atom. Number 5: E_tot -7.331 eV/atom. Number 6: E_tot -3.389 eV/atom.